The following is a DFT calculation (PBE with a Hubbard U) of an optimized crystal structure of Nd2Mo4O15.

The structure in POSCAR format:
```
Nd2Mo4O15
1.0
7.5201 0.0000 0.0000
0.8060 7.6027 0.0000
1.1936 0.0895 11.8661
Nd Mo O
4 8 30
Direct
0.1802 0.0875 0.2229 Nd
0.2493 0.5845 0.7774 Nd
0.7507 0.4155 0.2226 Nd
0.8198 0.9125 0.7771 Nd
0.0611 0.7506 0.4740 Mo
0.2310 0.5686 0.1285 Mo
0.2712 0.0723 0.8705 Mo
0.4035 0.3326 0.4678 Mo
0.5965 0.6674 0.5322 Mo
0.7288 0.9277 0.1295 Mo
0.7690 0.4314 0.8715 Mo
0.9389 0.2494 0.5260 Mo
0.0777 0.4056 0.1803 O
0.0821 0.7367 0.6229 O
0.1195 0.9495 0.4050 O
0.1447 0.9035 0.8164 O
0.1668 0.7827 0.1857 O
0.1684 0.2894 0.5554 O
0.2033 0.5727 0.4117 O
0.2124 0.0973 0.0178 O
0.2266 0.2830 0.8047 O
0.2271 0.5893 0.9799 O
0.3594 0.2333 0.3403 O
0.4181 0.5222 0.5980 O
0.4519 0.4887 0.1597 O
0.4641 0.8299 0.4696 O
0.4967 0.0018 0.1572 O
0.5033 0.9982 0.8428 O
0.5359 0.1701 0.5304 O
0.5481 0.5113 0.8403 O
0.5819 0.4778 0.4020 O
0.6406 0.7667 0.6597 O
0.7729 0.4107 0.0201 O
0.7734 0.7170 0.1953 O
0.7876 0.9027 0.9822 O
0.7967 0.4273 0.5883 O
0.8316 0.7106 0.4446 O
0.8332 0.2173 0.8143 O
0.8553 0.0965 0.1836 O
0.8805 0.0505 0.5950 O
0.9179 0.2633 0.3771 O
0.9223 0.5944 0.8197 O
```

Summary:
Crystal system = triclinic
E_tot = -7.440 eV per atom